Record 1
Computed, not measured: a relaxed structure of MgNiSe at the PBE-GGA level of DFT.

Calculated values
ΔE_f (raw): -0.45 eV per atom
DOS at the Fermi energy: 1.30 states/eV per cell

Lattice parameters (Å, degrees): 3.7400 4.4190 7.4633 74.96 75.49 65.07
Atoms (fractional coordinates):
Mg1 0.0000 0.0000 0.0000
Mg2 0.0231 0.5063 0.4468
Ni1 0.2516 0.8781 0.6182
Ni2 0.5103 0.2498 0.7300
Se1 0.3863 0.9569 0.2704
Se2 0.7748 0.6453 0.8038

***

Record 2
Computed, not measured: a relaxed structure of SiBPd3 at the PBE-GGA level of DFT.

Calculated values
ΔE_f (raw): 0.01 eV per atom
polymorph energy (0 for the lowest one): 0.00 eV/f.u.
DOS at the Fermi energy: 3.37 states/eV per cell

Lattice parameters (Å, degrees): 4.1642 4.1642 4.1642 90.00 90.00 90.00
Atoms (fractional coordinates):
Si1 0.0000 0.0000 0.0000
B1 0.5000 0.5000 0.5000
Pd1 0.0000 0.5000 0.5000
Pd2 0.5000 0.0000 0.5000
Pd3 0.5000 0.5000 0.0000

***

Record 3
Computed, not measured: a relaxed structure of CaSbW2 at the PBE-GGA level of DFT.

Calculated values
ΔE_f (raw): 0.58 eV per atom
DOS at the Fermi energy: 2.82 states/eV per cell

Lattice parameters (Å, degrees): 4.7612 4.7612 4.7612 60.00 60.00 60.00
Atoms (fractional coordinates):
Ca1 0.0000 0.0000 0.0000
Sb1 0.2500 0.2500 0.2500
W1 0.5000 0.5000 0.5000
W2 0.7500 0.7500 0.7500

***

Record 4
Computed, not measured: a relaxed structure of ZnIn3Ge at the PBE-GGA level of DFT.

Calculated values
polymorph energy (0 for the lowest one): 0.10 eV/f.u.
DOS at the Fermi energy: 3.87 states/eV per cell
ΔH_f (0 K): 2.33 eV/f.u.

Lattice parameters (Å, degrees): 5.4127 5.4127 5.4127 90.00 90.00 90.00
Atoms (fractional coordinates):
Zn1 0.0000 0.0000 0.0000
In1 0.0000 0.5000 0.5000
In2 0.5000 0.0000 0.5000
In3 0.5000 0.5000 0.0000
Ge1 0.5000 0.5000 0.5000

***

Record 5
Computed, not measured: a relaxed structure of BeAs4 at the PBE-GGA level of DFT.

Calculated values
polymorph energy (0 for the lowest one): 0.00 eV/f.u.
DOS at the Fermi energy: 2.04 states/eV per cell
ΔH_f (0 K): 0.98 eV/f.u.

Lattice parameters (Å, degrees): 5.8784 5.8784 5.8784 94.90 94.90 146.02
Atoms (fractional coordinates):
Be1 0.0000 0.0000 0.0000
As1 0.2911 0.4203 0.7114
As2 0.4203 0.7089 0.1293
As3 0.5797 0.2911 0.8707
As4 0.7089 0.5797 0.2886

***

Record 6
Computed, not measured: a relaxed structure of Ce3PmPb2 at the PBE-GGA level of DFT.

Calculated values
DOS at the Fermi energy: 23.25 states/eV per cell
ΔH_f (0 K): -1.63 eV/f.u.

Lattice parameters (Å, degrees): 9.6880 9.6880 8.3351 114.15 114.15 29.24
Atoms (fractional coordinates):
Ce1 0.0689 0.0689 0.1568
Ce2 0.2959 0.2959 0.5860
Ce3 0.3794 0.3794 0.9486
Ce4 0.6206 0.6206 0.0514
Ce5 0.7041 0.7041 0.4140
Ce6 0.9311 0.9311 0.8432
Pm1 0.1127 0.1127 0.6789
Pm2 0.8873 0.8873 0.3211
Pb1 0.2511 0.2511 0.1620
Pb2 0.4783 0.4783 0.6580
Pb3 0.5217 0.5217 0.3420
Pb4 0.7489 0.7489 0.8380

***

Record 7
Computed, not measured: a relaxed structure of NdTm3Fe at the PBE-GGA level of DFT.

Calculated values
polymorph energy (0 for the lowest one): 0.29 eV/f.u.
DOS at the Fermi energy: 7.81 states/eV per cell
ΔH_f (0 K): 0.33 eV/f.u.

Lattice parameters (Å, degrees): 5.2244 5.2244 5.2244 90.00 90.00 90.00
Atoms (fractional coordinates):
Nd1 0.0000 0.0000 0.0000
Tm1 0.0000 0.5000 0.5000
Tm2 0.5000 0.0000 0.5000
Tm3 0.5000 0.5000 0.0000
Fe1 0.5000 0.5000 0.5000

***

Record 8
Computed, not measured: a relaxed structure of ZrTi2AgH at the PBE-GGA level of DFT.

Calculated values
DOS at the Fermi energy: 6.79 states/eV per cell
E_tot: -31.01 eV/cell

Lattice parameters (Å, degrees): 4.1851 4.1851 4.3222 90.00 90.00 90.00
Atoms (fractional coordinates):
Zr1 0.0000 0.0000 0.0000
Ti1 0.0000 0.5000 0.5000
Ti2 0.5000 0.0000 0.5000
Ag1 0.5000 0.5000 0.0000
H1 0.0000 0.0000 0.5000

***

Record 9
Computed, not measured: a relaxed structure of MgGa2Si2 at the PBE-GGA level of DFT.

Calculated values
ΔE_f (raw): 0.13 eV per atom
DOS at the Fermi energy: 2.14 states/eV per cell

Lattice parameters (Å, degrees): 5.7843 5.7843 5.7843 134.60 134.60 66.15
Atoms (fractional coordinates):
Mg1 0.0000 0.0000 0.0000
Ga1 0.2500 0.7500 0.5000
Ga2 0.7500 0.2500 0.5000
Si1 0.3803 0.3803 0.0000
Si2 0.6197 0.6197 0.0000

***

Record 10
Computed, not measured: a relaxed structure of PmSm2Y6Ho2 at the PBE-GGA level of DFT.

Calculated values
DOS at the Fermi energy: 17.50 states/eV per cell
ΔH_f (0 K): 1.67 eV/f.u.

Lattice parameters (Å, degrees): 6.6651 6.6651 10.6329 90.04 90.04 129.33
Atoms (fractional coordinates):
Pm1 0.0000 0.0000 0.0000
Sm1 0.3652 0.6348 0.5000
Sm2 0.6348 0.3652 0.5000
Y1 0.1525 0.8455 0.2911
Y2 0.1545 0.8475 0.7089
Y3 0.4989 0.4989 0.2091
Y4 0.5011 0.5011 0.7909
Y5 0.8455 0.1525 0.2911
Y6 0.8475 0.1545 0.7089
Ho1 0.2961 0.7039 0.0000
Ho2 0.7039 0.2961 0.0000

***

Record 11
Computed, not measured: a relaxed structure of BeNF3 at the PBE-GGA level of DFT.

Calculated values
ΔE_f (raw): -0.70 eV per atom
polymorph energy (0 for the lowest one): 3.24 eV/f.u.
DOS at the Fermi energy: 5.35 states/eV per cell

Lattice parameters (Å, degrees): 3.5308 3.5308 3.5308 90.00 90.00 90.00
Atoms (fractional coordinates):
Be1 0.0000 0.0000 0.0000
N1 0.5000 0.5000 0.5000
F1 0.0000 0.0000 0.5000
F2 0.0000 0.5000 0.0000
F3 0.5000 0.0000 0.0000

***

Record 12
Computed, not measured: a relaxed structure of Hf3AlAg at the PBE-GGA level of DFT.

Calculated values
polymorph energy (0 for the lowest one): 0.52 eV/f.u.
DOS at the Fermi energy: 2.24 states/eV per cell
ΔH_f (0 K): 4.73 eV/f.u.

Lattice parameters (Å, degrees): 5.0499 5.0499 5.0499 90.00 90.00 90.00
Atoms (fractional coordinates):
Hf1 0.0000 0.0000 0.5000
Hf2 0.0000 0.5000 0.0000
Hf3 0.5000 0.0000 0.0000
Al1 0.5000 0.5000 0.5000
Ag1 0.0000 0.0000 0.0000